This record from the Alexandria database describes a relaxed structure of Nd6HoTm2. The functional is PBE.

abc: 5.730 12.059 12.059
angles: 48.36 103.77 103.77
Fractional positions:
1 Nd 0.920 0.921 0.419
2 Nd 0.420 0.419 0.921
3 Nd 0.162 0.831 0.000
4 Nd 0.580 0.581 0.079
5 Nd 0.670 0.334 0.497
6 Nd 0.080 0.079 0.581
7 Nd 0.330 0.666 0.503
8 Nd 0.830 0.503 0.666
9 Nd 0.338 0.000 0.169
10 Nd 0.170 0.497 0.334
11 Nd 0.838 0.169 0.000
12 Nd 0.662 0.000 0.831
13 Tm 0.002 0.666 0.833
14 Tm 0.502 0.833 0.666
15 Tm 0.498 0.167 0.334
16 Tm 0.998 0.334 0.167
17 Ho 0.750 0.751 0.249
18 Ho 0.250 0.249 0.751

Properties
The calculation puts the calculated total energy at -4.6236 eV per atom. The value obtained for the formation energy from the elements is 0.057 eV per atom. The value obtained for the energy above the lowest structure with this stoichiometry is 0 meV/atom.